Computed, not measured: a geometry-optimized NdY2Ni2B2N3 structure at the GGA-PBE level of DFT.

Its raw total energy is -7.847 eV/atom.

It has space group I4/mmm (No. 139), with a = 3.521 Å, b = 3.521 Å, c = 20.307 Å, α = 90.00°, β = 90.00° and γ = 90.00°. The distinct sites, in fractional coordinates, are Nd at (0.000, 0.000, 0.000), Y at (0.000, 0.000, 0.376), Ni at (0.000, 0.500, 0.250), B at (0.000, 0.000, 0.192), N at (0.000, 0.000, 0.120) and N at (0.000, 0.000, 0.500).


Computed, not measured: a geometry-optimized PrNdB2Os2N2 structure at the GGA-PBE level of DFT.

Its raw total energy is -8.589 eV/atom.

It has space group P4mm (No. 99), with a = 3.729 Å, b = 3.729 Å, c = 7.945 Å, α = 90.00°, β = 90.00° and γ = 90.00°. The distinct sites, in fractional coordinates, are Pr at (0.000, 0.000, 0.000), Nd at (0.500, 0.500, 0.672), B at (0.000, 0.000, 0.500), B at (0.500, 0.500, 0.172), Os at (0.000, 0.500, 0.337), N at (0.000, 0.000, 0.688) and N at (0.500, 0.500, 0.984).


Which value of raw total energy does entry 2 give? -8.589 eV/atom